Entry from the Alexandria database: crystalline Rb2ReWF6 at its relaxed geometry (PBE+U).

For the total magnetization, the calculation gives 2.722 μB/f.u. Its raw total energy is -0.1823 hartree per atom. Its space group is No. 225. As for the crystal system: cubic.

Cell and atoms, written as POSCAR:
```
Rb2ReWF6
1.0
6.240 0.000 0.000
0.000 6.240 0.000
3.120 3.120 4.419
Re Rb W F
1 2 1 6
Cartesian
0.000 0.000 0.000
6.240 3.120 2.209
3.120 6.240 2.209
3.120 3.120 0.000
3.120 3.120 2.127
6.240 6.240 2.292
1.616 1.616 0.000
4.624 4.624 0.000
4.624 1.616 0.000
1.616 4.624 0.000
```